# 1
Here is crystalline Li2AcSnBr8 at its relaxed geometry from the Alexandria database. Energies are from PBE.

The structure in CIF format:
```
data_Li2AcSnBr8
_space_group_name_H-M_alt 'P -3'
_space_group_IT_number 147
_cell_length_a 6.8210
_cell_length_b 6.8210
_cell_length_c 9.0618
_cell_angle_alpha 90.00
_cell_angle_beta 90.00
_cell_angle_gamma 120.00
loop_
_space_group_symop_operation_xyz
'x,y,z'
'-x,-y,-z'
'-y,x-y,z'
'y,-x+y,-z'
'-x+y,-x,z'
'x-y,x,-z'
loop_
_atom_site_label
_atom_site_type_symbol
_atom_site_fract_x
_atom_site_fract_y
_atom_site_fract_z
Li1 Li 0.3333 0.6667 0.2322
Ac1 Ac 0.0000 0.0000 0.5000
Sn1 Sn 0.0000 0.0000 0.0000
Br1 Br 0.0258 0.7089 0.7921
Br2 Br 0.3333 0.6667 0.4989
```

Results
- Formation energy from raw total energies: -1.221 eV per atom
- Size of the total moment: 0.000 μB per atom


# 2
Here is crystalline SrCeDy2 at its relaxed geometry from the Alexandria database. Energies are from PBE.

The structure in CIF format:
```
data_SrCeDy2
_space_group_name_H-M_alt 'P 4/m m m'
_space_group_IT_number 123
_space_group_name_Hall '-P 4 2'
_cell_length_a 3.659
_cell_length_b 3.659
_cell_length_c 10.425
_cell_angle_alpha 90.00
_cell_angle_beta 90.00
_cell_angle_gamma 90.00
loop_
_atom_site_label
_atom_site_type_symbol
_atom_site_fract_x
_atom_site_fract_y
_atom_site_fract_z
Sr1 Sr 0.000 0.000 0.000
Ce1 Ce 0.000 0.000 0.500
Dy1 Dy 0.500 0.500 0.287
```

Results
- Energy relative to the elements: 0.58 eV per formula unit
- Energy relative to the lowest polymorph listed for this composition: 0 meV/atom
- Size of the total moment: 0.001 μB per atom


# 3
Here is crystalline TaTlHgBr6 at its relaxed geometry from the Alexandria database. Energies are from PBE.

The structure in CIF format:
```
data_TaTlHgBr6
_space_group_name_H-M_alt 'P -3 1 c'
_space_group_IT_number 163
_space_group_name_Hall '-P 3 2c'
_cell_length_a 7.8932
_cell_length_b 7.8932
_cell_length_c 15.7461
_cell_angle_alpha 90.00
_cell_angle_beta 90.00
_cell_angle_gamma 120.00
loop_
_atom_site_label
_atom_site_type_symbol
_atom_site_fract_x
_atom_site_fract_y
_atom_site_fract_z
Ta1 Ta 0.3333 0.6667 0.2500
Tl1 Tl 0.3333 0.6667 0.7500
Hg1 Hg 0.0000 0.0000 0.0000
Br1 Br 0.0713 0.4054 0.1559
```

Results
- Formation energy from raw total energies: -0.797 eV per atom
- Size of the total moment: 0.000 μB per atom


> What is the size of the total moment in the first record?

0.000 μB per atom


> Among the records above, which one has the highest size of the total moment?

SrCeDy2